4
Lattice="-0.285 -1.288 5.396 -3.726 -3.717 1.775 1.679 -4.995 1.755" Properties=species:S:1:pos:R:3 comment="KSb3, optimized geometry, DFT PBE" total_energy_ev_per_fu=-13.04 polymorph_energy_mev_per_atom=248.7 raw_formation_energy_ev_per_atom=0.11 m_tot_mub_per_cell=0.00 pbc="T T T"
K 0.000 0.000 0.000
Sb -1.166 -5.000 4.463
Sb -1.749 -7.500 6.695
Sb -0.583 -2.500 2.232